No. 1
Here is an optimized crystal structure of BaHgBC2 from the Alexandria database. Energies are from PBE-GGA.

Results
N(E_F) = 4.5 states/eV/f.u.
Crystal system = tetragonal
Formation energy from the elements = 1.887 eV/atom

```
data_BaHgBC2
_cell_length_a 4.328
_cell_length_b 4.328
_cell_length_c 4.423
_cell_angle_alpha 90.00
_cell_angle_beta 90.00
_cell_angle_gamma 90.00
_symmetry_space_group_name_H-M 'P 4/m m m'
_symmetry_Int_Tables_number 123
_symmetry_space_group_name_Hall '-P 4 2'
loop_
_atom_site_label
_atom_site_type_symbol
_atom_site_fract_x
_atom_site_fract_y
_atom_site_fract_z
_atom_site_occupancy
Ba1 Ba 0.000 0.000 0.000 1
Hg1 Hg 0.500 0.500 0.000 1
B1 B 0.500 0.500 0.500 1
C1 C 0.000 0.500 0.500 1
```

No. 2
Here is an optimized crystal structure of BaB2CI from the Alexandria database. Energies are from PBE-GGA.

Results
ΔE_f (raw) = 803 kJ/mol of formula units
N(E_F) = 3.5 states/eV/f.u.
Crystal system = tetragonal

```
data_BaB2CI
_cell_length_a 4.364
_cell_length_b 4.364
_cell_length_c 5.950
_cell_angle_alpha 90.00
_cell_angle_beta 90.00
_cell_angle_gamma 90.00
_symmetry_space_group_name_H-M 'P 4/m m m'
_symmetry_Int_Tables_number 123
_symmetry_space_group_name_Hall '-P 4 2'
loop_
_atom_site_label
_atom_site_type_symbol
_atom_site_fract_x
_atom_site_fract_y
_atom_site_fract_z
_atom_site_occupancy
Ba1 Ba 0.000 0.000 0.000 1
B1 B 0.000 0.500 0.500 1
C1 C 0.000 0.000 0.500 1
I1 I 0.500 0.500 0.000 1
```

No. 3
Here is an optimized crystal structure of BaLaB6C6 from the Alexandria database. Energies are from PBE-GGA.

Results
N(E_F) = 2.4 states/eV/f.u.
Crystal system = cubic
Formation energy from the elements = 0.095 eV/atom

```
data_BaLaB6C6
_cell_length_a 4.968
_cell_length_b 4.968
_cell_length_c 4.968
_cell_angle_alpha 90.00
_cell_angle_beta 90.00
_cell_angle_gamma 90.00
_symmetry_space_group_name_H-M 'P m -3'
_symmetry_Int_Tables_number 200
_symmetry_space_group_name_Hall '-P 2 2 3'
loop_
_atom_site_label
_atom_site_type_symbol
_atom_site_fract_x
_atom_site_fract_y
_atom_site_fract_z
_atom_site_occupancy
Ba1 Ba 0.000 0.000 0.000 1
La1 La 0.500 0.500 0.500 1
B1 B 0.000 0.252 0.500 1
C1 C 0.000 0.500 0.256 1
```

No. 4
Here is an optimized crystal structure of BaBPb2C from the Alexandria database. Energies are from PBE-GGA.

Results
N(E_F) = 3.2 states/eV/f.u.
Crystal system = tetragonal
Formation energy from the elements = 0.530 eV/atom

```
data_BaBPb2C
_cell_length_a 6.397
_cell_length_b 6.397
_cell_length_c 3.062
_cell_angle_alpha 90.00
_cell_angle_beta 90.00
_cell_angle_gamma 90.00
_symmetry_space_group_name_H-M 'P 4/m m m'
_symmetry_Int_Tables_number 123
_symmetry_space_group_name_Hall '-P 4 2'
loop_
_atom_site_label
_atom_site_type_symbol
_atom_site_fract_x
_atom_site_fract_y
_atom_site_fract_z
_atom_site_occupancy
Ba1 Ba 0.000 0.000 0.000 1
B1 B 0.500 0.500 0.000 1
Pb1 Pb 0.000 0.500 0.500 1
C1 C 0.500 0.500 0.500 1
```